1.
Here is crystalline Cs5ErS4 at its relaxed geometry from the Alexandria database. Energies are from PBE.

Formation energy without anion corrections = -1.18 eV per atom
Raw total energy = -0.273 Ry/atom
Magnetic moment = 0.0 μB per formula unit

abc: 4.4821 9.0981 10.5672
angles: 105.43 102.24 90.00
Positions (direct):
Cs 0.1588 0.3469 0.3177
Cs 0.8412 0.6531 0.6823
Cs 0.5000 0.5000 0.0000
Cs 0.8334 0.1435 0.6668
Cs 0.1666 0.8565 0.3332
S 0.0012 0.7973 0.0024
S 0.9988 0.2027 0.9976
S 0.6402 0.0908 0.2803
S 0.3598 0.9092 0.7197
Er 0.5000 0.0000 0.0000

=====

2.
Here is crystalline Cs3ErS3 at its relaxed geometry from the Alexandria database. Energies are from PBE.

Formation energy without anion corrections = -1.47 eV per atom
Raw total energy = -0.313 Ry/atom
Density of states at the Fermi level = 0.00 states/eV/atom
Magnetic moment = 0.0 μB per formula unit
Excess energy over the best structure of this formula in the dataset = 11 meV per atom

abc: 8.6710 9.0994 14.6329
angles: 90.00 90.00 102.26
Positions (direct):
Er 0.6061 0.6590 0.4346
Er 0.8939 0.8410 0.9346
Er 0.1061 0.1590 0.0654
Er 0.3939 0.3410 0.5654
S 0.4655 0.6316 0.5946
S 0.0345 0.8684 0.0946
S 0.5195 0.2038 0.6882
S 0.6009 0.7316 0.9564
S 0.5345 0.3684 0.4054
S 0.0195 0.7038 0.8118
S 0.9805 0.2962 0.1882
S 0.8991 0.7684 0.4564
S 0.4805 0.7962 0.3118
S 0.1009 0.2316 0.5436
S 0.9655 0.1316 0.9054
S 0.3991 0.2684 0.0436
Cs 0.1350 0.5247 0.3749
Cs 0.7887 0.9592 0.6741
Cs 0.2816 0.6149 0.1090
Cs 0.6350 0.0247 0.1251
Cs 0.2887 0.4592 0.8259
Cs 0.7113 0.5408 0.1741
Cs 0.3650 0.9753 0.8749
Cs 0.7184 0.3851 0.8910
Cs 0.2184 0.8851 0.6090
Cs 0.8650 0.4753 0.6251
Cs 0.7816 0.1149 0.3910
Cs 0.2113 0.0408 0.3259

=====

3.
Here is crystalline CsEr2S3 at its relaxed geometry from the Alexandria database. Energies are from PBE.

Formation energy without anion corrections = -1.72 eV per atom
Raw total energy = -0.400 Ry/atom
Density of states at the Fermi level = 0.49 states/eV/atom
Magnetic moment = 0.0 μB per formula unit

abc: 3.9013 8.4730 10.3826
angles: 101.49 90.00 90.00
Positions (direct):
S 0.2500 0.2772 0.3502
S 0.7500 0.8807 0.3384
S 0.7500 0.8250 0.0129
S 0.7500 0.7228 0.6498
S 0.2500 0.1750 0.9871
S 0.2500 0.1193 0.6616
Cs 0.7500 0.4740 0.1739
Cs 0.2500 0.5260 0.8261
Er 0.7500 0.1720 0.4844
Er 0.7500 0.0170 0.8315
Er 0.2500 0.9830 0.1685
Er 0.2500 0.8280 0.5156

=====

4.
Here is crystalline Cs3ErS3 at its relaxed geometry from the Alexandria database. Energies are from PBE.

Formation energy without anion corrections = -1.48 eV per atom
Raw total energy = -0.313 Ry/atom
Density of states at the Fermi level = 0.00 states/eV/atom
Magnetic moment = 0.0 μB per formula unit
Excess energy over the best structure of this formula in the dataset = 0 meV per atom

abc: 8.7205 8.7205 8.5506
angles: 96.45 96.45 114.13
Positions (direct):
Er 0.8276 0.8276 0.8573
Er 0.1724 0.1724 0.1427
Cs 0.8152 0.1848 0.5000
Cs 0.6233 0.6233 0.3597
Cs 0.7452 0.2548 0.0000
Cs 0.2548 0.7452 0.0000
Cs 0.1848 0.8152 0.5000
Cs 0.3767 0.3767 0.6403
S 0.0966 0.0966 0.8279
S 0.5562 0.8396 0.7291
S 0.1604 0.4438 0.2709
S 0.4438 0.1604 0.2709
S 0.9034 0.9034 0.1721
S 0.8396 0.5562 0.7291

=====

5.
Here is crystalline CsErS2 at its relaxed geometry from the Alexandria database. Energies are from PBE.

Formation energy without anion corrections = -1.82 eV per atom
Raw total energy = -0.385 Ry/atom
Density of states at the Fermi level = 0.00 states/eV/atom
Magnetic moment = 0.0 μB per formula unit

abc: 4.0603 4.0603 8.4548
angles: 76.11 76.11 60.00
Positions (direct):
Er 0.6671 0.6671 0.9986
S 0.0605 0.0605 0.8184
S 0.2740 0.2740 0.1781
Cs 0.4984 0.4984 0.5049

=====

6.
Here is crystalline CsErS2 at its relaxed geometry from the Alexandria database. Energies are from PBE.

Formation energy without anion corrections = -1.83 eV per atom
Raw total energy = -0.386 Ry/atom
Density of states at the Fermi level = 0.00 states/eV/atom
Magnetic moment = 0.0 μB per formula unit

abc: 4.0714 4.0719 8.3897
angles: 104.03 90.00 120.00
Positions (direct):
Er 0.0000 0.5000 0.5000
S 0.7267 0.9533 0.6801
S 0.2733 0.0467 0.3199
Cs 0.5000 0.5000 0.0000

=====

Respective volume values: 40.52, 40.29, 28.03, 41.47, 28.99, 28.91 Å³ per atom.